Material: NaPO3
Method: DFT, PBEsol
State: optimized geometry

```
NaPO3
1.0
3.9178 0.0000 0.0000
0.0000 3.9178 0.0000
0.0000 0.0000 3.9178
P O Na
1 3 1
Cartesian
1.9589 1.9589 1.9589 P
0.0000 1.9589 0.0000 O
0.0000 0.0000 1.9589 O
1.9589 0.0000 0.0000 O
0.0000 0.0000 0.0000 Na
```

Values from the calculation:
Mass density: 2.815 g/cm³
Size of the total moment: 2.02 μB/f.u.
Uncorrected formation energy: 1.003 eV per atom
SG: Pm-3m (221)
Density of states at the Fermi level: 0.88 states/eV per atom
VASP energy: -3.59 eV per atom

***

Material: Cr2RuRh
Method: DFT, PBEsol
State: optimized geometry

```
Cr2RuRh
1.0
2.6174 0.0000 0.0000
0.0000 3.6124 0.0000
0.0000 0.0000 5.2472
Ru Rh Cr
1 1 2
Cartesian
1.3087 1.8062 2.6236 Ru
1.3087 1.8062 0.0000 Rh
0.0000 0.0000 3.8995 Cr
0.0000 0.0000 1.3477 Cr
```

Values from the calculation:
Mass density: 10.308 g/cm³
Formation energy from the elements: 0.053 eV per atom
Size of the total moment: 0.00 μB/f.u.
SG: Pmmm (47)
Density of states at the Fermi level: 1.23 states/eV per atom
VASP energy: -9.65 eV per atom

***

Material: TlCuSb2
Method: DFT, PBEsol
State: optimized geometry

```
TlCuSb2
1.0
-0.7824 0.0558 3.1592
-5.0596 -1.2810 -1.2305
4.1387 -4.5743 -0.5712
Cu Sb Tl
1 2 1
Cartesian
-2.5298 -0.6405 -0.6152 Cu
-2.4412 -2.6565 1.1193 Sb
0.7379 -3.1431 0.2382 Sb
-0.3912 0.0279 1.5796 Tl
```

Values from the calculation:
Mass density: 9.107 g/cm³
ΔE to the lowest computed polymorph: 95 meV per atom
Size of the total moment: 0.00 μB/f.u.
Uncorrected formation energy: 0.159 eV per atom
SG: Immm (71)
Density of states at the Fermi level: 0.52 states/eV per atom
VASP energy: -3.86 eV per atom